## P
Entry from the Alexandria database: NbSbTe2Cl after structural relaxation (GGA-PBE).

The crystal system is tetragonal. The calculation puts the mass density at 5.75 Mg/m³.

Unit cell a=5.3617 b=5.3617 c=5.0799 alpha=90.00 beta=90.00 gamma=90.00
Last column: nearest neighbours and their distance in Å.
Atoms (fractional coordinates):
Nb  0.5000  0.5000  0.5000  8 Te 3.69, 4 Sb 3.79
Sb  0.0000  0.0000  0.5000  2 Cl 2.54
Te  0.0000  0.5000  0.0000  2 Cl 2.68
Te  0.5000  0.0000  0.0000  2 Cl 2.68
Cl  0.0000  0.0000  0.0000  2 Sb 2.54, 4 Te 2.68

## Q
Entry from the Alexandria database: NbSbTe2Cl after structural relaxation (GGA-PBE).

The crystal system is tetragonal. The calculation puts the mass density at 5.41 Mg/m³.

Unit cell a=5.3242 b=5.3242 c=5.4683 alpha=90.00 beta=90.00 gamma=90.00
Last column: nearest neighbours and their distance in Å.
Atoms (fractional coordinates):
Nb  0.0000  0.0000  0.0000  4 Te 2.66, 2 Sb 2.73
Sb  0.0000  0.0000  0.5000  2 Nb 2.73
Cl  0.5000  0.5000  0.5000  4 Sb 3.76, 8 Te 3.82
Te  0.5000  0.0000  0.0000  2 Nb 2.66
Te  0.0000  0.5000  0.0000  2 Nb 2.66

Stability ranking, top entry: Q; the second entry is 1027 meV per atom less favorable.

## P
Entry from the Alexandria database: ScNb2Cl after structural relaxation (GGA-PBE).

The crystal system is tetragonal. The calculation puts the mass density at 5.50 Mg/m³.

Unit cell a=3.7802 b=3.7802 c=11.5559 alpha=80.59 beta=80.59 gamma=90.00
Last column: nearest neighbours and their distance in Å.
Atoms (fractional coordinates):
Sc  0.0000  0.0000  0.0000  4 Cl 2.67
Sc  0.7500  0.2500  0.5000  4 Cl 2.67
Nb  0.1195  0.6250  0.2500  4 Nb 2.64-2.70
Nb  0.8750  0.8805  0.7500  4 Nb 2.64-2.70
Nb  0.3750  0.3695  0.7500  4 Nb 2.64-2.70
Nb  0.6305  0.1250  0.2500  4 Nb 2.64-2.70
Cl  0.2500  0.7500  0.5000  4 Sc 2.67
Cl  0.5000  0.5000  0.0000  4 Sc 2.67

## Q
Entry from the Alexandria database: ScNb2Cl after structural relaxation (GGA-PBE).

The crystal system is cubic. The calculation puts the mass density at 5.93 Mg/m³.

Unit cell a=4.7231 b=4.7231 c=4.7231 alpha=60.00 beta=60.00 gamma=60.00
Last column: nearest neighbours and their distance in Å.
Atoms (fractional coordinates):
Nb  0.7500  0.7500  0.7500  4 Sc 2.89, 4 Cl 2.89
Nb  0.2500  0.2500  0.2500  4 Sc 2.89, 4 Cl 2.89
Sc  0.5000  0.5000  0.5000  8 Nb 2.89
Cl  0.0000  0.0000  0.0000  8 Nb 2.89

Stability ranking, top entry: P; the second entry is 657 meV per atom less favorable.

## P
Entry from the Alexandria database: Nb2SeCl after structural relaxation (GGA-PBE).

The crystal system is tetragonal. The calculation puts the mass density at 6.57 Mg/m³.

Unit cell a=6.9375 b=6.9375 c=5.8316 alpha=53.50 beta=53.50 gamma=90.00
Last column: nearest neighbours and their distance in Å.
Atoms (fractional coordinates):
Se  0.7500  0.2500  0.5000  4 Nb 2.67
Se  0.0000  0.0000  0.0000  4 Nb 2.67
Cl  0.5000  0.5000  0.0000  4 Nb 2.49
Cl  0.2500  0.7500  0.5000  4 Nb 2.49
Nb  0.6053  0.1250  0.2500  2 Cl 2.49, 2 Se 2.67
Nb  0.8750  0.8553  0.7500  2 Cl 2.49, 2 Se 2.67
Nb  0.1447  0.6250  0.2500  2 Cl 2.49, 2 Se 2.67
Nb  0.3750  0.3947  0.7500  2 Cl 2.49, 2 Se 2.67

## Q
Entry from the Alexandria database: Nb2SeCl after structural relaxation (GGA-PBE).

The crystal system is cubic. The calculation puts the mass density at 7.43 Mg/m³.

Unit cell a=4.5602 b=4.5602 c=4.5602 alpha=60.00 beta=60.00 gamma=60.00
Last column: nearest neighbours and their distance in Å.
Atoms (fractional coordinates):
Nb  0.2500  0.2500  0.2500  4 Cl 2.79, 4 Se 2.79
Nb  0.7500  0.7500  0.7500  4 Cl 2.79, 4 Se 2.79
Se  0.5000  0.5000  0.5000  8 Nb 2.79
Cl  0.0000  0.0000  0.0000  8 Nb 2.79

Stability ranking, top entry: Q; the second entry is 277 meV per atom less favorable.